[1]
Material: SiIrPd3
Method: DFT, PBE
State: optimized geometry

Values from the calculation:
* density of states at the Fermi level: 8.0 states/eV/cell
* symmetry: Pm-3m (221)
* energy above the most stable polymorph in this dataset: 0.765 eV/atom
* formation energy (no corrections): 6.7 eV/f.u.

Cell: 4.824 4.824 4.824 Å, 90.00 90.00 90.00°
Atoms (fractional coordinates):
Si 0.000 0.000 0.000
Ir 0.500 0.500 0.500
Pd 0.000 0.500 0.500
Pd 0.500 0.000 0.500
Pd 0.500 0.500 0.000

[2]
Material: SiIrPd2
Method: DFT, PBE
State: optimized geometry

Values from the calculation:
* density of states at the Fermi level: 7.3 states/eV/cell
* symmetry: I-42d (122)
* formation energy (no corrections): 0.2 eV/f.u.

Cell: 9.639 9.639 9.639 Å, 158.09 158.09 31.18°
Atoms (fractional coordinates):
Si 0.000 0.000 0.000
Si 0.750 0.250 0.500
Ir 0.250 0.750 0.500
Ir 0.500 0.500 0.000
Pd 0.122 0.625 0.997
Pd 0.375 0.372 0.497
Pd 0.628 0.125 0.003
Pd 0.875 0.878 0.503